1.
An optimized crystal structure of Mn2SbPb. Source: Alexandria via LeMat-Bulk, functional PBE.

Formation energy without anion corrections ... 373.4 meV/atom
Fermi-level density of states ... 2.3 states/eV/f.u.
Density ... 8.613 g/cm³
Distance to the lowest polymorph of the same formula ... 123 meV per atom

a = 5.780 Å, b = 5.780 Å, c = 5.780 Å
α = 138.28°, β = 138.28°, γ = 60.47°
Site moments in Bohr magnetons follow the coordinates.
Sites, in units of the cell vectors:
Mn  0.000  0.000  0.000  3.77
Mn  0.250  0.750  0.500  3.76
Pb  0.500  0.500  0.000  -0.05
Sb  0.750  0.250  0.500  -0.02



2.
An optimized crystal structure of Mn2SbPb. Source: Alexandria via LeMat-Bulk, functional PBE.

Formation energy without anion corrections ... 383.5 meV/atom
Fermi-level density of states ... 4.1 states/eV/f.u.
Density ... 8.176 g/cm³
Distance to the lowest polymorph of the same formula ... 133 meV per atom

a = 10.002 Å, b = 10.002 Å, c = 10.002 Å
α = 18.62°, β = 18.62°, γ = 18.62°
Site moments in Bohr magnetons follow the coordinates.
Sites, in units of the cell vectors:
Pb  0.515  0.515  0.515  0.01
Mn  0.988  0.988  0.988  -3.05
Mn  0.268  0.268  0.268  3.32
Sb  0.728  0.728  0.728  0.05



3.
An optimized crystal structure of Mn2SbPb. Source: Alexandria via LeMat-Bulk, functional PBE.

Formation energy without anion corrections ... 384.4 meV/atom
Fermi-level density of states ... 2.6 states/eV/f.u.
Density ... 8.790 g/cm³
Distance to the lowest polymorph of the same formula ... 134 meV per atom

a = 5.071 Å, b = 6.779 Å, c = 3.327 Å
α = 72.18°, β = 82.91°, γ = 124.61°
Site moments in Bohr magnetons follow the coordinates.
Sites, in units of the cell vectors:
Sb  0.500  0.000  0.500  -0.07
Mn  0.000  0.500  0.500  3.57
Mn  0.000  0.000  0.000  3.57
Pb  0.500  0.500  0.000  -0.09



4.
An optimized crystal structure of Mn2SbPb. Source: Alexandria via LeMat-Bulk, functional PBE.

Formation energy without anion corrections ... 404.5 meV/atom
Fermi-level density of states ... 3.5 states/eV/f.u.
Density ... 8.788 g/cm³
Distance to the lowest polymorph of the same formula ... 154 meV per atom

a = 5.066 Å, b = 5.066 Å, c = 3.288 Å
α = 90.00°, β = 90.00°, γ = 100.78°
Site moments in Bohr magnetons follow the coordinates.
Sites, in units of the cell vectors:
Mn  0.500  0.500  0.000  3.62
Mn  0.000  0.000  0.000  3.62
Pb  0.500  0.000  0.500  -0.07
Sb  0.000  0.500  0.500  -0.05



5.
An optimized crystal structure of Mn2SbPb. Source: Alexandria via LeMat-Bulk, functional PBE.

Formation energy without anion corrections ... 544.1 meV/atom
Fermi-level density of states ... 3.1 states/eV/f.u.
Density ... 8.283 g/cm³
Distance to the lowest polymorph of the same formula ... 293 meV per atom

a = 4.917 Å, b = 4.917 Å, c = 7.107 Å
α = 58.29°, β = 58.29°, γ = 38.03°
Sites, in units of the cell vectors:
Sb  0.250  0.250  0.250
Mn  0.476  0.476  0.362
Mn  0.024  0.024  0.138
Pb  0.750  0.750  0.750



6.
An optimized crystal structure of Mn2SbPb. Source: Alexandria via LeMat-Bulk, functional PBE.

Formation energy without anion corrections ... 697.2 meV/atom
Fermi-level density of states ... 4.6 states/eV/f.u.
Density ... 10.793 g/cm³
Distance to the lowest polymorph of the same formula ... 447 meV per atom

a = 4.571 Å, b = 4.571 Å, c = 4.571 Å
α = 60.00°, β = 60.00°, γ = 60.00°
Site moments in Bohr magnetons follow the coordinates.
Sites, in units of the cell vectors:
Mn  0.250  0.250  0.250  0.68
Mn  0.750  0.750  0.750  0.68
Sb  0.000  0.000  0.000  -0.07
Pb  0.500  0.500  0.500  -0.06